{"formula": "MgRe2Ir2", "functional": "PBE-GGA", "state": "optimized geometry", "cell": [[7.710, 0.000, 0.000], [0.000, 7.710, 0.000], [0.000, 0.000, 2.746]], "species": ["Re", "Re", "Re", "Re", "Mg", "Mg", "Ir", "Ir", "Ir", "Ir"], "frac_coords": [[0.379, 0.879, 0.000], [0.879, 0.621, 0.000], [0.621, 0.121, 0.000], [0.121, 0.379, 0.000], [0.000, 0.000, 0.000], [0.500, 0.500, 0.000], [0.170, 0.670, 0.500], [0.670, 0.830, 0.500], [0.830, 0.330, 0.500], [0.330, 0.170, 0.500]], "formation_energy_ev_per_fu": 0.04, "m_tot_mub_per_cell": 0.00, "final_energy_ev_per_atom": -8.83, "dos_ef_per_ev_atom": 0.570}